[1]
{
  "formula": "Tb3Sm6Th",
  "functional": "GGA-PBE",
  "state": "relaxed",
  "lattice_angstrom": [[4.914, 0.000, -1.010], [0.000, 11.019, 0.000], [-2.347, 0.000, 13.269]],
  "species": ["Sm", "Sm", "Sm", "Sm", "Sm", "Sm", "Sm", "Sm", "Sm", "Sm", "Sm", "Sm", "Tb", "Tb", "Tb", "Tb", "Tb", "Tb", "Th", "Th"],
  "frac_coords": [[0.002, 0.697, 0.002], [0.222, 0.496, 0.220], [0.722, 0.004, 0.720], [0.998, 0.303, 0.998], [0.498, 0.197, 0.498], [0.278, 0.996, 0.280], [0.502, 0.803, 0.502], [0.138, 0.337, 0.639], [0.362, 0.837, 0.861], [0.862, 0.663, 0.361], [0.778, 0.504, 0.780], [0.638, 0.163, 0.139], [0.133, 0.660, 0.634], [0.500, 0.500, 0.000], [0.633, 0.840, 0.134], [0.000, 0.000, 0.500], [0.867, 0.340, 0.366], [0.367, 0.160, 0.866], [0.000, 0.000, 0.000], [0.500, 0.500, 0.500]],
  "dos_at_fermi_per_ev_fu": 13.57,
  "spacegroup": "P2_1/c, No. 14",
  "formation_energy_ev_per_atom": 0.21,
  "magmom_total_mub_per_cell": 0.000,
  "energy_ev_per_atom": -4.75,
  "de_polymorph_mev_per_atom": 134
}

=====

[2]
{
  "formula": "Tb8Sm3Th2",
  "functional": "GGA-PBE",
  "state": "relaxed",
  "lattice_angstrom": [[-0.974, -7.684, -10.482], [2.920, 2.428, 7.919], [-10.548, -9.135, 13.835]],
  "species": ["Th", "Th", "Th", "Th", "Tb", "Tb", "Tb", "Tb", "Tb", "Tb", "Tb", "Tb", "Tb", "Tb", "Tb", "Tb", "Tb", "Tb", "Tb", "Tb", "Sm", "Sm", "Sm", "Sm", "Sm", "Sm"],
  "frac_coords": [[0.924, 0.942, 0.415], [0.514, 0.248, 0.146], [0.486, 0.752, 0.854], [0.076, 0.058, 0.585], [0.629, 0.811, 0.037], [0.116, 0.568, 0.887], [0.145, 0.058, 0.185], [0.371, 0.189, 0.963], [0.569, 0.776, 0.439], [0.387, 0.661, 0.261], [0.855, 0.942, 0.815], [0.335, 0.671, 0.678], [0.250, 0.053, 0.385], [0.613, 0.339, 0.739], [0.260, 0.630, 0.076], [0.665, 0.329, 0.322], [0.431, 0.224, 0.561], [0.740, 0.370, 0.924], [0.750, 0.947, 0.615], [0.884, 0.432, 0.113], [0.000, 0.000, 0.000], [0.959, 0.489, 0.707], [0.240, 0.148, 0.775], [0.041, 0.511, 0.293], [0.500, 0.000, 0.500], [0.760, 0.852, 0.225]],
  "dos_at_fermi_per_ev_fu": 18.45,
  "spacegroup": "P-1, No. 2",
  "formation_energy_ev_per_atom": 0.11,
  "magmom_total_mub_per_cell": 0.000,
  "energy_ev_per_atom": -4.97,
  "de_polymorph_mev_per_atom": 0
}